[1]
A plane-wave DFT calculation with PBE was carried out for YTaReGe2 after structural relaxation.

abc: 4.999 5.011 4.999
angles: 90.00 90.00 90.00
Positions (direct):
Y 0.000 0.000 0.000
Re 0.500 0.500 0.500
Ge 0.000 0.000 0.500
Ge 0.500 0.000 0.000
Ta 0.000 0.500 0.000

- Symmetry: No. 123
- E: -27.8 eV for the cell shown
- M_tot: 0.0361 μB per atom
- DOS at the Fermi energy: 8.0 states/eV/f.u.
- Energy of formation: 2.447 eV per atom



[2]
A plane-wave DFT calculation with PBE was carried out for TbReGe2 after structural relaxation.

abc: 4.689 4.689 4.608
angles: 59.42 59.42 60.00
Positions (direct):
Re 0.000 0.000 0.000
Ge 0.247 0.247 0.258
Ge 0.753 0.753 0.742
Tb 0.500 0.500 0.500

- Symmetry: No. 166
- E: -26.8 eV for the cell shown
- M_tot: 0.0000 μB per atom
- DOS at the Fermi energy: 2.3 states/eV/f.u.
- Energy of formation: -0.129 eV per atom



[3]
A plane-wave DFT calculation with PBE was carried out for Re2TcGe after structural relaxation.

abc: 2.825 2.825 9.214
angles: 81.18 81.18 60.00
Positions (direct):
Re 0.089 0.089 0.734
Re 0.911 0.911 0.266
Ge 0.500 0.500 0.500
Tc 0.000 0.000 0.000

- Symmetry: No. 166
- E: -37.0 eV for the cell shown
- M_tot: 0.0000 μB per atom
- DOS at the Fermi energy: 4.8 states/eV/f.u.
- Energy of formation: 0.710 eV per atom



[4]
A plane-wave DFT calculation with PBE was carried out for ReTc2Ge2 after structural relaxation.

abc: 7.031 7.031 2.985
angles: 90.00 90.00 90.00
Positions (direct):
Re 0.000 0.000 0.000
Re 0.500 0.500 0.000
Ge 0.353 0.853 0.000
Ge 0.853 0.647 0.000
Ge 0.647 0.147 0.000
Ge 0.147 0.353 0.000
Tc 0.153 0.653 0.500
Tc 0.653 0.847 0.500
Tc 0.847 0.347 0.500
Tc 0.347 0.153 0.500

- Symmetry: No. 127
- E: -82.6 eV for the cell shown
- M_tot: 0.0000 μB per atom
- DOS at the Fermi energy: 7.7 states/eV/f.u.
- Energy of formation: 0.224 eV per atom



What is the formula in the second record?
TbReGe2



Look up the energy of formation of the fourth one.
0.224 eV per atom



What is the E in the third record?
-37.0 eV for the cell shown